Record 1
TbTm4Mg2 GGA-PBE relaxed; E above lowest polymorph = 0 meV per atom; magnetization = 0.00 μB/atom
1.0
3.4287 0.0000 0.0000
0.0000 3.4581 -0.3127
0.0000 -0.1825 17.2566
Tb Tm Mg
1 4 2
Direct
0.0000 0.5000 0.0000
0.0000 0.6456 0.2913
0.0000 0.3544 0.7087
0.5000 0.0743 0.1485
0.5000 0.9257 0.8515
0.5000 0.7874 0.5749
0.5000 0.2126 0.4251

***

Record 2
Tb2Tm3Mg3 GGA-PBE relaxed; E above lowest polymorph = 37 meV per atom; magnetization = 0.00 μB/atom
1.0
-3.6579 -1.9043 -3.2186
3.7333 -2.3654 -2.8434
-0.6506 -6.6335 4.6641
Mg Tb Tm
3 2 3
Direct
0.5000 0.0000 0.5000
0.0000 0.5000 0.0000
0.0000 0.5000 0.5000
0.0000 0.0000 0.2645
0.0000 0.0000 0.7355
0.5000 0.5000 0.7311
0.5000 0.5000 0.2689
0.5000 0.0000 0.0000

***

Record 3
Tb3Tm6Mg GGA-PBE relaxed; E above lowest polymorph = 111 meV per atom; magnetization = 0.00 μB/atom
1.0
-8.5416 -2.1788 0.8350
-0.2379 -2.3089 -8.4588
2.1586 -6.2563 5.7566
Tm Tb Mg
12 6 2
Direct
0.6001 0.1603 0.2883
0.6001 0.7117 0.8397
0.1001 0.8397 0.7117
0.2703 0.1735 0.4758
0.7703 0.4758 0.1735
0.7854 0.0626 0.9374
0.2854 0.9374 0.0626
0.1589 0.7088 0.2912
0.1001 0.2883 0.1603
0.7703 0.8265 0.5242
0.2703 0.5242 0.8265
0.6589 0.2912 0.7088
0.9327 0.6769 0.9686
0.4327 0.9686 0.6769
0.9327 0.0314 0.3231
0.9155 0.4607 0.5393
0.4155 0.5393 0.4607
0.4327 0.3231 0.0314
0.5193 0.7694 0.2306
0.0193 0.2306 0.7694

***

Record 4
Tb8Tm5Mg GGA-PBE relaxed; magnetization = 0.00 μB/atom
1.0
-0.0322 -3.0315 -7.8127
-2.6507 -5.8200 5.4159
-5.0826 6.6617 0.1320
Tm Tb Mg
5 8 1
Direct
0.5000 0.0000 0.5000
0.8153 0.6909 0.7163
0.2837 0.0990 0.9746
0.8756 0.9010 0.1847
0.0254 0.3091 0.1244
0.6573 0.3950 0.9181
0.7377 0.2608 0.3427
0.3454 0.2729 0.4336
0.5664 0.9118 0.8393
0.5231 0.6049 0.2623
0.1607 0.7271 0.0725
0.0819 0.7392 0.4769
0.9275 0.0882 0.6546
0.2500 0.5000 0.7500

***

| no. | calculated formation energy (eV/atom) |
| --- | --- |
| 1 | 0.04 |
| 2 | -0.01 |
| 3 | 0.13 |
| 4 | 0.24 |